Entry from the Alexandria database: a geometry-optimized KHPd2 structure (PBE).

Calculated values
Total energy = -2.8696 eV per atom
Crystal system = cubic

Cell lengths 4.603, 4.603, 4.603 Å; angles 60.00, 60.00, 60.00 degrees
Sites, in units of the cell vectors:
K  0.000  0.000  0.000
H  0.500  0.500  0.500
Pd  0.250  0.250  0.250
Pd  0.750  0.750  0.750



Entry from the Alexandria database: a geometry-optimized Ho3Tm2Zr structure (PBE).

Calculated values
ΔH_f (0 K) = 0.3 eV per formula unit
Crystal system = orthorhombic

Cell lengths 6.013, 6.013, 11.108 Å; angles 90.00, 90.00, 59.87 degrees
Sites, in units of the cell vectors:
Ho  0.000  0.000  0.000
Ho  0.000  0.000  0.500
Ho  0.339  0.339  0.000
Ho  0.339  0.339  0.500
Ho  0.661  0.661  0.000
Ho  0.661  0.661  0.500
Tm  0.001  0.332  0.250
Tm  0.332  0.001  0.750
Tm  0.668  0.999  0.250
Tm  0.999  0.668  0.750
Zr  0.337  0.663  0.250
Zr  0.663  0.337  0.750



Entry from the Alexandria database: a geometry-optimized TlNiS structure (PBE).

Calculated values
Total energy = -4.3647 eV per atom
Crystal system = trigonal

Cell lengths 3.732, 3.732, 5.285 Å; angles 90.00, 90.00, 120.00 degrees
Sites, in units of the cell vectors:
Tl  0.000  0.000  0.000
Ni  0.667  0.333  0.498
S  0.333  0.667  0.499



Entry from the Alexandria database: a geometry-optimized YAl2InGa structure (PBE).

Calculated values
ΔH_f (0 K) = 2.6 eV per formula unit
Crystal system = tetragonal

Cell lengths 5.153, 5.153, 5.146 Å; angles 90.00, 90.00, 90.00 degrees
Sites, in units of the cell vectors:
Y  0.000  0.000  0.000
Al  0.000  0.500  0.500
Al  0.500  0.000  0.500
In  0.500  0.500  0.500
Ga  0.500  0.500  0.000



Entry from the Alexandria database: a geometry-optimized Pm8Sm3Ho structure (PBE).

Calculated values
ΔH_f (0 K) = 0.3 eV per formula unit
Crystal system = triclinic

Cell lengths 6.369, 8.631, 8.652 Å; angles 85.41, 68.44, 68.53 degrees
Sites, in units of the cell vectors:
Pm  0.000  0.000  0.000
Pm  0.000  0.498  0.502
Pm  0.330  0.669  0.669
Pm  0.331  0.167  0.171
Pm  0.664  0.252  0.754
Pm  0.664  0.753  0.255
Pm  0.996  0.920  0.422
Pm  0.998  0.419  0.921
Sm  0.331  0.586  0.088
Sm  0.662  0.333  0.336
Sm  0.662  0.834  0.835
Ho  0.331  0.086  0.588



Entry from the Alexandria database: a geometry-optimized Li2PBr structure (PBE).

Calculated values
Total energy = -3.1758 eV per atom
Crystal system = orthorhombic

Cell lengths 3.200, 4.088, 5.977 Å; angles 90.00, 90.00, 90.00 degrees
Sites, in units of the cell vectors:
Li  0.000  0.000  0.000
Li  0.000  0.500  0.500
P  0.500  0.000  0.500
Br  0.500  0.500  0.000



Entry from the Alexandria database: a geometry-optimized Cs2HoTlS4 structure (PBE).

Calculated values
Total energy = -4.2045 eV per atom
Crystal system = monoclinic

Cell lengths 8.708, 8.708, 8.503 Å; angles 116.98, 116.98, 93.51 degrees
Sites, in units of the cell vectors:
Cs  0.000  0.000  0.000
Cs  0.000  0.000  0.500
Cs  0.000  0.500  0.000
Cs  0.500  0.000  0.500
Ho  0.500  0.500  0.000
Ho  0.500  0.500  0.500
Tl  0.000  0.500  0.500
Tl  0.500  0.000  0.000
S  0.249  0.703  0.518
S  0.289  0.313  0.561
S  0.297  0.751  0.982
S  0.313  0.289  0.061
S  0.687  0.711  0.939
S  0.703  0.249  0.018
S  0.711  0.687  0.439
S  0.751  0.297  0.482



Entry from the Alexandria database: a geometry-optimized KTbBeSe3 structure (PBE).

Calculated values
Total energy = -4.7170 eV per atom
Crystal system = monoclinic

Cell lengths 9.294, 4.023, 9.500 Å; angles 90.00, 108.19, 90.00 degrees
Sites, in units of the cell vectors:
K  0.200  0.250  0.231
K  0.800  0.750  0.769
Tb  0.332  0.750  0.852
Tb  0.668  0.250  0.148
Be  0.077  0.250  0.603
Be  0.923  0.750  0.397
Se  0.110  0.250  0.844
Se  0.174  0.750  0.527
Se  0.457  0.750  0.167
Se  0.543  0.250  0.833
Se  0.826  0.250  0.473
Se  0.890  0.750  0.156



Entry from the Alexandria database: a geometry-optimized CuTc2Br structure (PBE).

Calculated values
Total energy = -5.7345 eV per atom
Crystal system = tetragonal

Cell lengths 10.065, 10.065, 10.065 Å; angles 158.52, 158.52, 30.56 degrees
Sites, in units of the cell vectors:
Cu  0.000  0.000  0.000
Cu  0.750  0.250  0.500
Tc  0.068  0.625  0.943
Tc  0.375  0.318  0.443
Tc  0.682  0.125  0.057
Tc  0.875  0.932  0.557
Br  0.250  0.750  0.500
Br  0.500  0.500  0.000



Entry from the Alexandria database: a geometry-optimized LiTbNp2S5 structure (PBE).

Calculated values
Total energy = -6.9155 eV per atom
Crystal system = tetragonal

Cell lengths 4.995, 4.995, 9.561 Å; angles 90.00, 90.00, 90.00 degrees
Sites, in units of the cell vectors:
Li  0.000  0.000  0.000
Tb  0.000  0.000  0.500
Np  0.500  0.500  0.280
Np  0.500  0.500  0.720
S  0.000  0.000  0.227
S  0.000  0.000  0.773
S  0.000  0.500  0.500
S  0.500  0.000  0.500
S  0.500  0.500  0.000



Entry from the Alexandria database: a geometry-optimized Tl2CdSe2 structure (PBE).

Calculated values
Total energy = -2.7464 eV per atom
Crystal system = tetragonal

Cell lengths 7.742, 7.742, 4.934 Å; angles 90.00, 90.00, 90.00 degrees
Sites, in units of the cell vectors:
Tl  0.143  0.357  0.000
Tl  0.357  0.857  0.000
Tl  0.643  0.143  0.000
Tl  0.857  0.643  0.000
Cd  0.000  0.000  0.500
Cd  0.500  0.500  0.500
Se  0.179  0.679  0.500
Se  0.321  0.179  0.500
Se  0.679  0.821  0.500
Se  0.821  0.321  0.500



Entry from the Alexandria database: a geometry-optimized Zr2TeF structure (PBE).

Calculated values
Total energy = -6.5167 eV per atom
Crystal system = cubic

Cell lengths 4.781, 4.781, 4.781 Å; angles 60.00, 60.00, 60.00 degrees
Sites, in units of the cell vectors:
Zr  0.250  0.250  0.250
Zr  0.750  0.750  0.750
Te  0.000  0.000  0.000
F  0.500  0.500  0.500



Entry from the Alexandria database: a geometry-optimized NdDyAlHg structure (PBE).

Calculated values
ΔH_f (0 K) = -1.5 eV per formula unit
Crystal system = cubic

Cell lengths 5.298, 5.298, 5.298 Å; angles 60.00, 60.00, 60.00 degrees
Sites, in units of the cell vectors:
Nd  0.000  0.000  0.000
Dy  0.500  0.500  0.500
Al  0.250  0.250  0.250
Hg  0.750  0.750  0.750



Entry from the Alexandria database: a geometry-optimized GeSbC3 structure (PBE).

Calculated values
Total energy = -4.8177 eV per atom
Crystal system = cubic

Cell lengths 4.040, 4.040, 4.040 Å; angles 90.00, 90.00, 90.00 degrees
Sites, in units of the cell vectors:
Ge  0.000  0.000  0.000
Sb  0.500  0.500  0.500
C  0.000  0.000  0.500
C  0.000  0.500  0.000
C  0.500  0.000  0.000



Entry from the Alexandria database: a geometry-optimized TlBr2Cl structure (PBE).

Calculated values
Total energy = -2.2227 eV per atom
Crystal system = tetragonal

Cell lengths 7.553, 7.553, 7.553 Å; angles 97.40, 97.40, 137.93 degrees
Sites, in units of the cell vectors:
Tl  0.000  0.000  0.000
Tl  0.750  0.250  0.500
Br  0.375  0.245  0.370
Br  0.755  0.125  0.130
Br  0.875  0.005  0.630
Br  0.995  0.625  0.870
Cl  0.250  0.750  0.500
Cl  0.500  0.500  0.000



Entry from the Alexandria database: a geometry-optimized Be2TlP structure (PBE).

Calculated values
ΔH_f (0 K) = 2.0 eV per formula unit
Crystal system = orthorhombic

Cell lengths 4.953, 4.953, 4.953 Å; angles 138.72, 100.09, 94.20 degrees
Sites, in units of the cell vectors:
Be  0.173  0.173  0.000
Be  0.827  0.827  0.000
Tl  0.500  0.000  0.500
P  0.000  0.500  0.500



Entry from the Alexandria database: a geometry-optimized La8PrGa2 structure (PBE).

Calculated values
ΔH_f (0 K) = -1.5 eV per formula unit
Crystal system = monoclinic

Cell lengths 8.581, 8.581, 6.031 Å; angles 100.53, 100.53, 116.81 degrees
Sites, in units of the cell vectors:
La  0.078  0.310  0.582
La  0.238  0.762  0.000
La  0.310  0.078  0.582
La  0.405  0.405  0.202
La  0.595  0.595  0.798
La  0.690  0.922  0.418
La  0.762  0.238  0.000
La  0.922  0.690  0.418
Pr  0.000  0.000  0.000
Ga  0.307  0.693  0.500
Ga  0.693  0.307  0.500



Entry from the Alexandria database: a geometry-optimized NaSnPt2 structure (PBE).

Calculated values
ΔH_f (0 K) = -0.3 eV per formula unit
Crystal system = tetragonal

Cell lengths 6.055, 6.055, 6.055 Å; angles 103.13, 103.13, 123.07 degrees
Sites, in units of the cell vectors:
Na  0.000  0.000  0.000
Na  0.750  0.250  0.500
Sn  0.250  0.750  0.500
Sn  0.500  0.500  0.000
Pt  0.153  0.625  0.028
Pt  0.375  0.403  0.528
Pt  0.597  0.125  0.972
Pt  0.875  0.847  0.472



Entry from the Alexandria database: a geometry-optimized RbPbS2O8 structure (PBE).

Calculated values
Total energy = -5.8240 eV per atom
Crystal system = trigonal

Cell lengths 5.216, 5.216, 8.930 Å; angles 90.00, 90.00, 120.00 degrees
Sites, in units of the cell vectors:
Rb  0.000  0.000  0.000
Pb  0.000  0.000  0.500
S  0.333  0.667  0.731
S  0.667  0.333  0.269
O  0.069  0.389  0.675
O  0.320  0.931  0.675
O  0.333  0.667  0.896
O  0.389  0.320  0.325
O  0.611  0.680  0.675
O  0.667  0.333  0.104
O  0.680  0.069  0.325
O  0.931  0.611  0.325



Entry from the Alexandria database: a geometry-optimized ZrZn3Co structure (PBE).

Calculated values
ΔH_f (0 K) = -0.9 eV per formula unit
Crystal system = monoclinic

Cell lengths 6.248, 4.015, 6.258 Å; angles 90.00, 100.46, 90.00 degrees
Sites, in units of the cell vectors:
Zr  0.163  0.250  0.244
Zr  0.837  0.750  0.756
Zn  0.144  0.250  0.770
Zn  0.357  0.750  0.939
Zn  0.495  0.250  0.637
Zn  0.505  0.750  0.363
Zn  0.643  0.250  0.061
Zn  0.856  0.750  0.230
Co  0.169  0.750  0.532
Co  0.831  0.250  0.468